No. 1
Entry from Alexandria: a relaxed RbPmZn2F8 crystal (PBE).

abc: 9.000 9.000 9.000
angles: 34.91 34.91 34.91
Atoms (fractional coordinates):
Rb (0.000, 0.000, 0.000)
Pm (0.500, 0.500, 0.500)
Zn (0.257, 0.257, 0.257)
Zn (0.743, 0.743, 0.743)
F (0.108, 0.457, 0.766)
F (0.234, 0.543, 0.892)
F (0.330, 0.330, 0.330)
F (0.457, 0.766, 0.108)
F (0.543, 0.892, 0.234)
F (0.670, 0.670, 0.670)
F (0.766, 0.108, 0.457)
F (0.892, 0.234, 0.543)

Computed properties:
The calculation puts the size of the total moment at 0.07 Bohr magnetons per cell. For the uncorrected energy, the calculation gives -58.03 eV/cell. The space-group type is No. 155.



No. 2
Entry from Alexandria: a relaxed RbPmZnF6 crystal (PBE).

abc: 7.491 7.491 7.491
angles: 120.43 117.16 92.12
Atoms (fractional coordinates):
Rb (0.338, 0.088, 0.250)
Rb (0.662, 0.912, 0.750)
Pm (0.000, 0.500, 0.500)
Pm (0.500, 0.500, 0.000)
Zn (0.000, 0.000, 0.500)
Zn (0.000, 0.500, 0.000)
F (0.057, 0.348, 0.173)
F (0.057, 0.885, 0.710)
F (0.094, 0.344, 0.750)
F (0.325, 0.115, 0.673)
F (0.325, 0.652, 0.210)
F (0.367, 0.617, 0.750)
F (0.633, 0.383, 0.250)
F (0.675, 0.348, 0.790)
F (0.675, 0.885, 0.327)
F (0.906, 0.656, 0.250)
F (0.943, 0.115, 0.290)
F (0.943, 0.652, 0.827)

Computed properties:
The calculation puts the size of the total moment at 0.00 Bohr magnetons per cell. For the uncorrected energy, the calculation gives -93.79 eV/cell. The space-group type is No. 74.